ScTaAl2: relaxed, PBE.

The structure in POSCAR format:
```
ScTaAl2
1.0
5.292 -1.627 0.000
5.292 1.627 0.000
-2.006 0.000 4.156
Sc Ta Al
1 1 2
direct
0.000 0.000 0.000
0.238 0.238 0.741
0.490 0.490 0.489
0.762 0.762 0.265
```

## Properties
The formation enthalpy at 0 K is -19.37 kJ per mole of atoms. As for the space group: Cm, No. 8. The calculation puts the final energy at -6.618 eV/atom.


ScTaAl2: relaxed, PBE.

The structure in POSCAR format:
```
ScTaAl2
1.0
-1.987 1.987 4.549
1.987 -1.987 4.549
1.987 1.987 -4.549
Sc Ta Al
1 1 2
direct
0.000 0.000 0.000
0.250 0.750 0.500
0.500 0.500 0.000
0.750 0.250 0.500
```

## Properties
The formation enthalpy at 0 K is -24.28 kJ per mole of atoms. As for the space group: I-4m2, No. 119. The calculation puts the final energy at -6.669 eV/atom.


ScTaAl3: relaxed, PBE.

The structure in POSCAR format:
```
ScTaAl3
1.0
-1.908 1.908 6.594
1.908 -1.908 6.594
1.908 1.908 -6.594
Sc Ta Al
1 1 3
direct
0.000 0.000 0.000
0.619 0.619 0.000
0.267 0.767 0.500
0.416 0.416 0.000
0.767 0.267 0.500
```

## Properties
The formation enthalpy at 0 K is 3.67 kJ per mole of atoms. The calculation puts the offset from the most stable computed form at 0.00 eV/f.u. As for the space group: I4mm, No. 107. The calculation puts the final energy at -5.844 eV/atom.


ScTaAl2: relaxed, PBE.

The structure in POSCAR format:
```
ScTaAl2
1.0
-2.034 2.034 9.823
2.034 -2.034 9.823
2.034 2.034 -9.823
Sc Ta Al
2 2 4
direct
0.000 0.000 0.000
0.750 0.250 0.500
0.250 0.750 0.500
0.500 0.500 0.000
0.157 0.625 0.032
0.375 0.407 0.532
0.593 0.125 0.968
0.875 0.843 0.468
```

## Properties
The formation enthalpy at 0 K is 42.15 kJ per mole of atoms. As for the space group: I-42d, No. 122. The calculation puts the final energy at -5.980 eV/atom.


ScTaAlTc: relaxed, PBE.

The structure in POSCAR format:
```
ScTaAlTc
1.0
0.000 3.243 3.243
3.243 0.000 3.243
3.243 3.243 0.000
Sc Ta Al Tc
1 1 1 1
direct
0.000 0.000 0.000
0.500 0.500 0.500
0.250 0.250 0.250
0.750 0.750 0.750
```

## Properties
The formation enthalpy at 0 K is -29.99 kJ per mole of atoms. As for the space group: F-43m, No. 216. The calculation puts the final energy at -8.384 eV/atom.


ScTa2AlTl: relaxed, PBE.

The structure in POSCAR format:
```
ScTa2AlTl
1.0
4.802 0.000 0.000
0.000 4.802 0.000
0.000 0.000 4.960
Sc Ta Al Tl
1 2 1 1
direct
0.000 0.000 0.000
0.000 0.500 0.500
0.500 0.000 0.500
0.500 0.500 0.500
0.500 0.500 0.000
```

## Properties
The formation enthalpy at 0 K is 103.48 kJ per mole of atoms. As for the space group: P4/mmm, No. 123. The calculation puts the final energy at -6.157 eV/atom.